Mg2BRu2 | PBE-GGA | relaxed

The structure in POSCAR format:
```
Mg2BRu2
1.0
5.7345 0.0000 0.0000
0.0000 5.7345 0.0000
0.0000 0.0000 4.3991
Mg B Ru
4 2 4
direct
0.1670 0.3330 0.0000
0.3330 0.8330 0.0000
0.6670 0.1670 0.0000
0.8330 0.6670 0.0000
0.0000 0.0000 0.5000
0.5000 0.5000 0.5000
0.1569 0.6569 0.5000
0.3431 0.1569 0.5000
0.6569 0.8431 0.5000
0.8431 0.3431 0.5000
```

Computed properties:
Calculated formation energy, eV per atom: -0.13
Density, g/cm³: 6.00
Crystal system: tetragonal